This record from the Alexandria database describes an optimized crystal structure of GdPt2Pb. The functional is PBE.

Lattice parameters (Å, degrees): 3.573 3.573 6.805 90.00 90.00 90.00
Fractional positions:
Pt (0.000, 0.000, 0.765)
Pt (0.000, 0.000, 0.235)
Pb (0.500, 0.500, 0.500)
Gd (0.500, 0.500, 0.000)

Properties
- E_form: -0.695 eV/atom
- VASP energy: -0.300 Ha/atom
- Calculated density: 14.4 g/cm³
- Symmetry: No. 123


This record from the Alexandria database describes an optimized crystal structure of GdPt2Pb. The functional is PBE.

Lattice parameters (Å, degrees): 3.810 4.727 4.727 90.00 90.00 90.00
Fractional positions:
Pb (0.500, 0.000, 0.000)
Pt (0.000, 0.000, 0.500)
Pt (0.000, 0.500, 0.000)
Gd (0.500, 0.500, 0.500)

Properties
- E_form: -0.668 eV/atom
- VASP energy: -0.299 Ha/atom
- Calculated density: 14.7 g/cm³
- Symmetry: No. 123


This record from the Alexandria database describes an optimized crystal structure of Gd2PtPb. The functional is PBE.

Lattice parameters (Å, degrees): 3.538 3.538 8.167 90.00 90.00 90.00
Fractional positions:
Gd (0.000, 0.000, 0.710)
Gd (0.000, 0.000, 0.290)
Pb (0.500, 0.500, 0.000)
Pt (0.500, 0.500, 0.500)

Properties
- E_form: -0.844 eV/atom
- VASP energy: -0.379 Ha/atom
- Energy above the lowest structure with this stoichiometry: 0.000 eV/atom
- Calculated density: 11.6 g/cm³
- Symmetry: No. 123


This record from the Alexandria database describes an optimized crystal structure of GdPuPtPb. The functional is PBE.

Lattice parameters (Å, degrees): 5.239 5.239 5.239 60.00 60.00 60.00
Fractional positions:
Pb (0.750, 0.750, 0.750)
Pt (0.250, 0.250, 0.250)
Pu (0.500, 0.500, 0.500)
Gd (0.000, 0.000, 0.000)

Properties
- E_form: -0.483 eV/atom
- VASP energy: -0.368 Ha/atom
- Calculated density: 13.1 g/cm³
- Symmetry: No. 216


This record from the Alexandria database describes an optimized crystal structure of GdPtRhPb. The functional is PBE.

Lattice parameters (Å, degrees): 4.860 4.860 4.860 60.00 60.00 60.00
Fractional positions:
Gd (0.500, 0.500, 0.500)
Pb (0.000, 0.000, 0.000)
Rh (0.250, 0.250, 0.250)
Pt (0.750, 0.750, 0.750)

Properties
- E_form: -0.574 eV/atom
- VASP energy: -0.308 Ha/atom
- Calculated density: 13.6 g/cm³
- Symmetry: No. 216


This record from the Alexandria database describes an optimized crystal structure of GdScPtPb. The functional is PBE.

Lattice parameters (Å, degrees): 5.079 5.079 5.079 60.00 60.00 60.00
Fractional positions:
Gd (0.000, 0.000, 0.000)
Sc (0.500, 0.500, 0.500)
Pb (0.250, 0.250, 0.250)
Pt (0.750, 0.750, 0.750)

Properties
- E_form: -0.686 eV/atom
- VASP energy: -0.302 Ha/atom
- Calculated density: 10.8 g/cm³
- Symmetry: No. 216


This record from the Alexandria database describes an optimized crystal structure of TbGdPtPb. The functional is PBE.

Lattice parameters (Å, degrees): 5.219 5.219 5.219 60.00 60.00 60.00
Fractional positions:
Gd (0.500, 0.500, 0.500)
Pt (0.750, 0.750, 0.750)
Tb (0.000, 0.000, 0.000)
Pb (0.250, 0.250, 0.250)

Properties
- E_form: -0.733 eV/atom
- VASP energy: -0.288 Ha/atom
- Calculated density: 11.9 g/cm³
- Symmetry: No. 216


This record from the Alexandria database describes an optimized crystal structure of GdZnPtPb. The functional is PBE.

Lattice parameters (Å, degrees): 4.951 4.951 4.951 60.00 60.00 60.00
Fractional positions:
Zn (0.750, 0.750, 0.750)
Pb (0.000, 0.000, 0.000)
Pt (0.250, 0.250, 0.250)
Gd (0.500, 0.500, 0.500)

Properties
- E_form: -0.529 eV/atom
- VASP energy: -0.250 Ha/atom
- Calculated density: 12.1 g/cm³
- Symmetry: No. 216


This record from the Alexandria database describes an optimized crystal structure of GdPuPb2. The functional is PBE.

Lattice parameters (Å, degrees): 4.527 5.030 5.030 90.00 90.00 90.00
Fractional positions:
Gd (0.500, 0.000, 0.000)
Pb (0.000, 0.500, 0.000)
Pb (0.000, 0.000, 0.500)
Pu (0.500, 0.500, 0.500)

Properties
- E_form: -0.273 eV/atom
- VASP energy: -0.339 Ha/atom
- Energy above the lowest structure with this stoichiometry: 0.000 eV/atom
- Calculated density: 11.8 g/cm³
- Symmetry: No. 123


This record from the Alexandria database describes an optimized crystal structure of GdPuPb2. The functional is PBE.

Lattice parameters (Å, degrees): 5.501 5.501 5.501 60.00 60.00 60.00
Fractional positions:
Pb (0.750, 0.750, 0.750)
Pb (0.250, 0.250, 0.250)
Gd (0.500, 0.500, 0.500)
Pu (0.000, 0.000, 0.000)

Properties
- E_form: -0.234 eV/atom
- VASP energy: -0.338 Ha/atom
- Energy above the lowest structure with this stoichiometry: 0.039 eV/atom
- Calculated density: 11.5 g/cm³
- Symmetry: No. 225


This record from the Alexandria database describes an optimized crystal structure of Gd2PuPb. The functional is PBE.

Lattice parameters (Å, degrees): 3.523 3.523 11.212 80.96 80.96 60.00
Fractional positions:
Pu (0.500, 0.500, 0.500)
Gd (0.749, 0.749, 0.752)
Gd (0.251, 0.251, 0.248)
Pb (0.000, 0.000, 0.000)

Properties
- E_form: -0.072 eV/atom
- VASP energy: -0.427 Ha/atom
- Energy above the lowest structure with this stoichiometry: 0.108 eV/atom
- Calculated density: 10.7 g/cm³
- Symmetry: No. 166


This record from the Alexandria database describes an optimized crystal structure of Gd2PuPb. The functional is PBE.

Lattice parameters (Å, degrees): 4.677 4.923 4.923 90.00 90.00 90.00
Fractional positions:
Gd (0.000, 0.000, 0.500)
Gd (0.000, 0.500, 0.000)
Pu (0.500, 0.500, 0.500)
Pb (0.500, 0.000, 0.000)

Properties
- E_form: -0.180 eV/atom
- VASP energy: -0.431 Ha/atom
- Energy above the lowest structure with this stoichiometry: 0.000 eV/atom
- Calculated density: 11.2 g/cm³
- Symmetry: No. 123


This record from the Alexandria database describes an optimized crystal structure of Gd2PuPb. The functional is PBE.

Lattice parameters (Å, degrees): 3.698 3.698 8.808 90.00 90.00 90.00
Fractional positions:
Pu (0.500, 0.500, 0.500)
Pb (0.500, 0.500, 0.000)
Gd (0.000, 0.000, 0.237)
Gd (0.000, 0.000, 0.763)

Properties
- E_form: -0.121 eV/atom
- VASP energy: -0.429 Ha/atom
- Energy above the lowest structure with this stoichiometry: 0.059 eV/atom
- Calculated density: 10.6 g/cm³
- Symmetry: No. 123


This record from the Alexandria database describes an optimized crystal structure of GdPuRhPb. The functional is PBE.

Lattice parameters (Å, degrees): 5.196 5.196 5.196 60.00 60.00 60.00
Fractional positions:
Pu (0.250, 0.250, 0.250)
Pb (0.500, 0.500, 0.500)
Rh (0.000, 0.000, 0.000)
Gd (0.750, 0.750, 0.750)

Properties
- E_form: -0.257 eV/atom
- VASP energy: -0.372 Ha/atom
- Calculated density: 11.9 g/cm³
- Symmetry: No. 216


This record from the Alexandria database describes an optimized crystal structure of GdPuSnPb. The functional is PBE.

Lattice parameters (Å, degrees): 5.416 5.416 5.416 60.00 60.00 60.00
Fractional positions:
Gd (0.500, 0.500, 0.500)
Pu (0.000, 0.000, 0.000)
Pb (0.750, 0.750, 0.750)
Sn (0.250, 0.250, 0.250)

Properties
- E_form: -0.354 eV/atom
- VASP energy: -0.345 Ha/atom
- Calculated density: 10.7 g/cm³
- Symmetry: No. 216


This record from the Alexandria database describes an optimized crystal structure of GdTmPuPb. The functional is PBE.

Lattice parameters (Å, degrees): 5.406 5.406 5.406 60.00 60.00 60.00
Fractional positions:
Tm (0.500, 0.500, 0.500)
Gd (0.000, 0.000, 0.000)
Pb (0.250, 0.250, 0.250)
Pu (0.750, 0.750, 0.750)

Properties
- E_form: -0.021 eV/atom
- VASP energy: -0.337 Ha/atom
- Calculated density: 11.6 g/cm³
- Symmetry: No. 216


This record from the Alexandria database describes an optimized crystal structure of RbGdPb2. The functional is PBE.

Lattice parameters (Å, degrees): 4.169 4.169 8.353 90.00 90.00 90.00
Fractional positions:
Rb (0.500, 0.500, 0.500)
Gd (0.500, 0.500, 0.000)
Pb (0.000, 0.000, 0.189)
Pb (0.000, 0.000, 0.811)

Properties
- E_form: -0.312 eV/atom
- VASP energy: -0.218 Ha/atom
- Energy above the lowest structure with this stoichiometry: 0.000 eV/atom
- Calculated density: 7.5 g/cm³
- Symmetry: No. 123


This record from the Alexandria database describes an optimized crystal structure of RbGdPb2. The functional is PBE.

Lattice parameters (Å, degrees): 3.559 6.120 6.120 90.00 90.00 90.00
Fractional positions:
Rb (0.500, 0.500, 0.500)
Gd (0.500, 0.000, 0.000)
Pb (0.000, 0.000, 0.500)
Pb (0.000, 0.500, 0.000)

Properties
- E_form: -0.115 eV/atom
- VASP energy: -0.211 Ha/atom
- Energy above the lowest structure with this stoichiometry: 0.197 eV/atom
- Calculated density: 8.2 g/cm³
- Symmetry: No. 123


This record from the Alexandria database describes an optimized crystal structure of RbGdPb2. The functional is PBE.

Lattice parameters (Å, degrees): 3.800 3.800 11.429 80.43 80.43 60.00
Fractional positions:
Pb (0.742, 0.742, 0.774)
Pb (0.258, 0.258, 0.226)
Gd (0.000, 0.000, 0.000)
Rb (0.500, 0.500, 0.500)

Properties
- E_form: -0.165 eV/atom
- VASP energy: -0.212 Ha/atom
- Energy above the lowest structure with this stoichiometry: 0.148 eV/atom
- Calculated density: 7.8 g/cm³
- Symmetry: No. 166


This record from the Alexandria database describes an optimized crystal structure of RbGdPb4. The functional is PBE.

Lattice parameters (Å, degrees): 6.599 6.599 6.599 60.00 60.00 60.00
Fractional positions:
Pb (0.626, 0.626, 0.121)
Pb (0.121, 0.626, 0.626)
Pb (0.626, 0.626, 0.626)
Pb (0.626, 0.121, 0.626)
Rb (0.250, 0.250, 0.250)
Gd (0.000, 0.000, 0.000)

Properties
- E_form: -0.120 eV/atom
- VASP energy: -0.187 Ha/atom
- Calculated density: 8.8 g/cm³
- Symmetry: No. 216


This record from the Alexandria database describes an optimized crystal structure of GdRh2Pb. The functional is PBE.

Lattice parameters (Å, degrees): 3.748 4.566 4.566 90.00 90.00 90.00
Fractional positions:
Rh (0.000, 0.500, 0.000)
Rh (0.000, 0.000, 0.500)
Gd (0.500, 0.500, 0.500)
Pb (0.500, 0.000, 0.000)

Properties
- E_form: -0.523 eV/atom
- VASP energy: -0.318 Ha/atom
- Calculated density: 12.1 g/cm³
- Symmetry: No. 123


This record from the Alexandria database describes an optimized crystal structure of Gd3RhPb. The functional is PBE.

Lattice parameters (Å, degrees): 5.367 5.367 5.367 90.00 90.00 90.00
Fractional positions:
Pb (0.500, 0.500, 0.500)
Gd (0.000, 0.500, 0.000)
Gd (0.500, 0.000, 0.000)
Gd (0.000, 0.000, 0.500)
Rh (0.000, 0.000, 0.000)

Properties
- E_form: -0.446 eV/atom
- VASP energy: -0.408 Ha/atom
- Calculated density: 8.4 g/cm³
- Symmetry: No. 221


This record from the Alexandria database describes an optimized crystal structure of GdRh4Pb. The functional is PBE.

Lattice parameters (Å, degrees): 5.343 5.343 5.343 60.00 60.00 60.00
Fractional positions:
Pb (0.000, 0.000, 0.000)
Rh (0.626, 0.626, 0.626)
Rh (0.626, 0.123, 0.626)
Rh (0.123, 0.626, 0.626)
Rh (0.626, 0.626, 0.123)
Gd (0.250, 0.250, 0.250)

Properties
- E_form: -0.389 eV/atom
- VASP energy: -0.303 Ha/atom
- Calculated density: 11.9 g/cm³
- Symmetry: No. 216


This record from the Alexandria database describes an optimized crystal structure of GdRuRhPb. The functional is PBE.

Lattice parameters (Å, degrees): 4.766 4.766 4.766 60.00 60.00 60.00
Fractional positions:
Rh (0.250, 0.250, 0.250)
Gd (0.500, 0.500, 0.500)
Pb (0.000, 0.000, 0.000)
Ru (0.750, 0.750, 0.750)

Properties
- E_form: -0.323 eV/atom
- VASP energy: -0.328 Ha/atom
- Calculated density: 12.3 g/cm³
- Symmetry: No. 216


This record from the Alexandria database describes an optimized crystal structure of SmGdRhPb. The functional is PBE.

Lattice parameters (Å, degrees): 5.229 5.229 5.229 60.00 60.00 60.00
Fractional positions:
Sm (0.250, 0.250, 0.250)
Pb (0.500, 0.500, 0.500)
Gd (0.750, 0.750, 0.750)
Rh (0.000, 0.000, 0.000)

Properties
- E_form: -0.483 eV/atom
- VASP energy: -0.292 Ha/atom
- Calculated density: 10.1 g/cm³
- Symmetry: No. 216


This record from the Alexandria database describes an optimized crystal structure of Gd2RuPb. The functional is PBE.

Lattice parameters (Å, degrees): 5.168 5.168 5.168 60.00 60.00 60.00
Fractional positions:
Ru (0.000, 0.000, 0.000)
Pb (0.500, 0.500, 0.500)
Gd (0.250, 0.250, 0.250)
Gd (0.750, 0.750, 0.750)

Properties
- E_form: -0.246 eV/atom
- VASP energy: -0.387 Ha/atom
- Energy above the lowest structure with this stoichiometry: 0.012 eV/atom
- Calculated density: 10.6 g/cm³
- Symmetry: No. 225


This record from the Alexandria database describes an optimized crystal structure of GdRuPb. The functional is PBE.

Lattice parameters (Å, degrees): 3.532 4.751 4.751 120.00 90.00 90.00
Fractional positions:
Ru (0.167, 0.333, 0.667)
Gd (0.667, 0.667, 0.333)
Pb (0.166, 0.000, 0.000)

Properties
- E_form: -0.112 eV/atom
- VASP energy: -0.336 Ha/atom
- Calculated density: 11.2 g/cm³
- Symmetry: No. 187


This record from the Alexandria database describes an optimized crystal structure of Gd2RuPb. The functional is PBE.

Lattice parameters (Å, degrees): 3.667 3.667 9.326 78.66 78.66 60.00
Fractional positions:
Ru (0.000, 0.000, 0.000)
Gd (0.266, 0.266, 0.203)
Gd (0.734, 0.734, 0.797)
Pb (0.500, 0.500, 0.500)

Properties
- E_form: -0.252 eV/atom
- VASP energy: -0.387 Ha/atom
- Energy above the lowest structure with this stoichiometry: 0.006 eV/atom
- Calculated density: 9.8 g/cm³
- Symmetry: No. 166


This record from the Alexandria database describes an optimized crystal structure of Gd2RuPb. The functional is PBE.

Lattice parameters (Å, degrees): 3.968 4.933 4.933 90.00 90.00 90.00
Fractional positions:
Ru (0.500, 0.000, 0.000)
Gd (0.000, 0.500, 0.000)
Gd (0.000, 0.000, 0.500)
Pb (0.500, 0.500, 0.500)

Properties
- E_form: -0.258 eV/atom
- VASP energy: -0.388 Ha/atom
- Energy above the lowest structure with this stoichiometry: 0.000 eV/atom
- Calculated density: 10.7 g/cm³
- Symmetry: No. 123


This record from the Alexandria database describes an optimized crystal structure of GdRu2Pb. The functional is PBE.

Lattice parameters (Å, degrees): 3.464 4.678 4.678 90.00 90.00 90.00
Fractional positions:
Ru (0.000, 0.500, 0.000)
Ru (0.000, 0.000, 0.500)
Gd (0.500, 0.000, 0.000)
Pb (0.500, 0.500, 0.500)

Properties
- E_form: -0.048 eV/atom
- VASP energy: -0.336 Ha/atom
- Calculated density: 12.4 g/cm³
- Symmetry: No. 123


This record from the Alexandria database describes an optimized crystal structure of SmGdRuPb. The functional is PBE.

Lattice parameters (Å, degrees): 5.197 5.197 5.197 60.00 60.00 60.00
Fractional positions:
Ru (0.750, 0.750, 0.750)
Pb (0.250, 0.250, 0.250)
Gd (0.500, 0.500, 0.500)
Sm (0.000, 0.000, 0.000)

Properties
- E_form: -0.223 eV/atom
- VASP energy: -0.300 Ha/atom
- Calculated density: 10.3 g/cm³
- Symmetry: No. 216